Compound: Cs2AsI6F
Source: Alexandria
Functional: PBE-GGA
Structure: optimized geometry

DOS(E_F) ... 2.87 states/eV/cell
ΔE_f (raw) ... -7.72 eV/f.u.
Raw total energy ... -2.525 eV/atom
Crystal system ... tetragonal

abc: 7.806 7.806 8.565
angles: 62.89 62.89 90.00
Sites, in units of the cell vectors:
Cs (0.750, 0.250, 0.500)
Cs (0.250, 0.750, 0.500)
I (0.220, 0.220, 0.560)
I (0.780, 0.780, 0.440)
I (0.255, 0.255, 0.000)
I (0.745, 0.745, 0.000)
I (0.745, 0.255, 0.000)
I (0.255, 0.745, 0.000)
As (0.000, 0.000, 0.000)
F (0.500, 0.500, 0.000)

Compound: TiBeNb2
Source: Alexandria
Functional: PBE-GGA
Structure: optimized geometry

DOS(E_F) ... 4.76 states/eV/cell
Raw total energy ... -7.680 eV/atom
Energy of formation ... 0.26 eV/atom
Crystal system ... trigonal

abc: 2.961 2.961 8.832
angles: 80.35 80.35 60.00
Sites, in units of the cell vectors:
Be (0.000, 0.000, 0.000)
Nb (0.258, 0.258, 0.226)
Nb (0.742, 0.742, 0.774)
Ti (0.500, 0.500, 0.500)

Compound: RuPbIN2
Source: Alexandria
Functional: PBE-GGA
Structure: optimized geometry

DOS(E_F) ... 3.34 states/eV/cell
ΔE_f (raw) ... 5.98 eV/f.u.
Raw total energy ... -5.041 eV/atom
E above lowest polymorph ... 0.0 meV per atom
Crystal system ... tetragonal

abc: 4.216 4.216 6.230
angles: 90.00 90.00 90.00
Site moments in Bohr magnetons follow the coordinates.
Sites, in units of the cell vectors:
Pb (0.500, 0.500, 0.500)  -0.05
I (0.000, 0.000, 0.500)  0.00
N (0.000, 0.500, 0.000)  0.30
N (0.500, 0.000, 0.000)  0.30
Ru (0.000, 0.000, 0.000)  -0.17

Compound: MnMoSe
Source: Alexandria
Functional: PBE-GGA
Structure: optimized geometry

DOS(E_F) ... 3.14 states/eV/cell
ΔE_f (raw) ... 0.58 eV/f.u.
Raw total energy ... -7.636 eV/atom
E above lowest polymorph ... 69.9 meV per atom
Crystal system ... trigonal

abc: 4.050 4.050 2.978
angles: 90.00 90.00 120.00
Sites, in units of the cell vectors:
Mn (0.000, 0.000, 0.836)
Mo (0.333, 0.667, 0.332)
Se (0.667, 0.333, 0.832)

Compound: Nb2NiPd
Source: Alexandria
Functional: PBE-GGA
Structure: optimized geometry

DOS(E_F) ... 6.26 states/eV/cell
Raw total energy ... -7.754 eV/atom
E above lowest polymorph ... 263.2 meV per atom
Energy of formation ... 0.02 eV/atom
Crystal system ... cubic

abc: 4.489 4.489 4.489
angles: 60.00 60.00 60.00
Sites, in units of the cell vectors:
Ni (0.000, 0.000, 0.000)
Nb (0.250, 0.250, 0.250)
Nb (0.750, 0.750, 0.750)
Pd (0.500, 0.500, 0.500)

Compound: SnBNF2
Source: Alexandria
Functional: PBE-GGA
Structure: optimized geometry

DOS(E_F) ... 0.37 states/eV/cell
ΔE_f (raw) ... 0.76 eV/f.u.
Raw total energy ... -4.398 eV/atom
E above lowest polymorph ... 1176.8 meV per atom
Crystal system ... tetragonal

abc: 4.257 4.257 3.943
angles: 90.00 90.00 90.00
Sites, in units of the cell vectors:
B (0.500, 0.500, 0.500)
N (0.000, 0.000, 0.500)
Sn (0.000, 0.000, 0.000)
F (0.000, 0.500, 0.000)
F (0.500, 0.000, 0.000)

Compound: CaAl4Au12
Source: Alexandria
Functional: PBE-GGA
Structure: optimized geometry

DOS(E_F) ... 4.81 states/eV/cell
Raw total energy ... -3.491 eV/atom
Energy of formation ... -0.18 eV/atom
Crystal system ... cubic

abc: 7.738 7.738 7.738
angles: 109.47 109.47 109.47
Sites, in units of the cell vectors:
Ca (0.000, 0.000, 0.000)
Al (0.000, 0.500, 0.000)
Al (0.500, 0.000, 0.000)
Al (0.500, 0.500, 0.500)
Al (0.000, 0.000, 0.500)
Au (0.843, 0.343, 0.186)
Au (0.343, 0.500, 0.157)
Au (0.814, 0.157, 0.657)
Au (0.343, 0.186, 0.843)
Au (0.186, 0.843, 0.343)
Au (0.657, 0.500, 0.843)
Au (0.500, 0.157, 0.343)
Au (0.500, 0.843, 0.657)
Au (0.657, 0.814, 0.157)
Au (0.843, 0.657, 0.500)
Au (0.157, 0.343, 0.500)
Au (0.157, 0.657, 0.814)

Compound: Ag2HF4
Source: Alexandria
Functional: PBE-GGA
Structure: optimized geometry

DOS(E_F) ... 11.26 states/eV/cell
Raw total energy ... -3.593 eV/atom
Crystal system ... orthorhombic

abc: 3.560 10.298 11.461
angles: 90.00 90.00 90.00
Site moments in Bohr magnetons follow the coordinates.
Sites, in units of the cell vectors:
Ag (0.250, 0.419, 0.763)  0.33
Ag (0.250, 0.340, 0.441)  0.30
Ag (0.750, 0.160, 0.941)  0.30
Ag (0.750, 0.081, 0.263)  0.33
Ag (0.250, 0.919, 0.737)  0.33
Ag (0.250, 0.840, 0.059)  0.30
Ag (0.750, 0.660, 0.559)  0.30
Ag (0.750, 0.581, 0.237)  0.33
H (0.250, 0.325, 0.173)  0.00
H (0.750, 0.175, 0.673)  0.00
H (0.250, 0.825, 0.327)  0.00
H (0.750, 0.675, 0.827)  0.00
F (0.250, 0.526, 0.596)  0.14
F (0.250, 0.436, 0.181)  0.03
F (0.750, 0.287, 0.670)  0.03
F (0.250, 0.293, 0.916)  0.15
F (0.750, 0.207, 0.416)  0.15
F (0.250, 0.213, 0.170)  0.03
F (0.750, 0.064, 0.681)  0.03
F (0.750, 0.974, 0.096)  0.14
F (0.250, 0.026, 0.904)  0.14
F (0.250, 0.936, 0.319)  0.03
F (0.750, 0.787, 0.830)  0.03
F (0.250, 0.793, 0.584)  0.15
F (0.750, 0.707, 0.084)  0.15
F (0.250, 0.713, 0.330)  0.03
F (0.750, 0.564, 0.819)  0.03
F (0.750, 0.474, 0.404)  0.14

Compound: BaHfMg2
Source: Alexandria
Functional: PBE-GGA
Structure: optimized geometry

DOS(E_F) ... 11.02 states/eV/cell
Raw total energy ... -3.049 eV/atom
E above lowest polymorph ... 299.2 meV per atom
Energy of formation ... 0.72 eV/atom
Crystal system ... tetragonal

abc: 8.917 8.917 7.088
angles: 51.02 51.02 90.00
Site moments in Bohr magnetons follow the coordinates.
Sites, in units of the cell vectors:
Mg (0.667, 0.125, 0.250)  0.01
Mg (0.083, 0.625, 0.250)  0.00
Mg (0.375, 0.333, 0.750)  0.01
Mg (0.875, 0.917, 0.750)  0.01
Hf (0.000, 0.000, 0.000)  0.36
Hf (0.750, 0.250, 0.500)  0.36
Ba (0.500, 0.500, 0.000)  0.07
Ba (0.250, 0.750, 0.500)  0.07

Compound: ZrVP2
Source: Alexandria
Functional: PBE-GGA
Structure: optimized geometry

DOS(E_F) ... 2.56 states/eV/cell
Raw total energy ... -7.734 eV/atom
E above lowest polymorph ... 264.9 meV per atom
Energy of formation ... -0.61 eV/atom
Crystal system ... cubic

abc: 4.414 4.414 4.414
angles: 60.00 60.00 60.00
Sites, in units of the cell vectors:
P (0.250, 0.250, 0.250)
P (0.750, 0.750, 0.750)
Zr (0.500, 0.500, 0.500)
V (0.000, 0.000, 0.000)

Compound: BaTm2PdS4
Source: Alexandria
Functional: PBE-GGA
Structure: optimized geometry

ΔE_f (raw) ... -14.60 eV/f.u.
Raw total energy ... -5.896 eV/atom
Crystal system ... orthorhombic

abc: 4.004 6.975 13.696
angles: 90.00 90.00 106.68
Sites, in units of the cell vectors:
Ba (0.116, 0.233, 0.750)
Ba (0.884, 0.767, 0.250)
Tm (0.367, 0.734, 0.570)
Tm (0.633, 0.266, 0.070)
Tm (0.633, 0.266, 0.430)
Tm (0.367, 0.734, 0.930)
Pd (0.842, 0.685, 0.750)
Pd (0.158, 0.315, 0.250)
S (0.267, 0.534, 0.105)
S (0.733, 0.466, 0.605)
S (0.733, 0.466, 0.895)
S (0.267, 0.534, 0.395)
S (0.000, 0.000, 0.500)
S (0.000, 0.000, 0.000)
S (0.447, 0.894, 0.750)
S (0.553, 0.106, 0.250)

Compound: Y4CdIn3
Source: Alexandria
Functional: PBE-GGA
Structure: optimized geometry

DOS(E_F) ... 6.34 states/eV/cell
Raw total energy ... -4.841 eV/atom
Energy of formation ... -0.47 eV/atom
Crystal system ... tetragonal

abc: 3.762 3.762 15.044
angles: 90.00 90.00 90.00
Sites, in units of the cell vectors:
Y (0.000, 0.000, 0.877)
Y (0.000, 0.000, 0.123)
Y (0.000, 0.000, 0.374)
Y (0.000, 0.000, 0.626)
In (0.500, 0.500, 0.247)
In (0.500, 0.500, 0.500)
In (0.500, 0.500, 0.753)
Cd (0.500, 0.500, 0.000)